*w*
Compound: CuWCl2
Source: Alexandria via LeMat-Bulk
Functional: GGA-PBE
Structure: relaxed

abc: 5.012 5.012 7.489
angles: 70.95 70.95 33.94
Site moments in Bohr magnetons follow the coordinates.
Atoms (fractional coordinates):
Cu 0.569 0.569 0.375  0.07
W 0.301 0.301 0.375  0.56
Cl 0.889 0.889 0.099  0.01
Cl 0.742 0.742 0.651  0.01

Calculated values
- theoretical density (kg/m³) = 5353
- M_tot (Bohr magnetons per cell) = 0.82

---

*x*
Compound: CuWCl2
Source: Alexandria via LeMat-Bulk
Functional: GGA-PBE
Structure: relaxed

abc: 2.869 5.570 4.175
angles: 90.00 90.00 90.00
Site moments in Bohr magnetons follow the coordinates.
Atoms (fractional coordinates):
Cu 0.500 0.000 0.500  0.03
W 0.000 0.500 0.500  0.56
Cl 0.000 0.000 0.000  0.04
Cl 0.500 0.500 0.000  0.00

Calculated values
- theoretical density (kg/m³) = 7922
- M_tot (Bohr magnetons per cell) = 0.77

---

The energy of each structure relative to the most stable one, in kJ/mol of atoms, is as follows: *w* 0.0; *x* 62.6.

---

*w*
Compound: CuWCl2
Source: Alexandria via LeMat-Bulk
Functional: GGA-PBE
Structure: relaxed

abc: 2.958 2.958 9.213
angles: 90.00 90.00 90.00
Atoms (fractional coordinates):
Cu 0.500 0.500 0.250
W 0.500 0.500 0.750
Cl 0.000 0.000 0.915
Cl 0.000 0.000 0.585

Calculated values
- theoretical density (kg/m³) = 6554
- M_tot (Bohr magnetons per cell) = 0.00

---

*x*
Compound: CuWCl2
Source: Alexandria via LeMat-Bulk
Functional: GGA-PBE
Structure: relaxed

abc: 11.266 11.266 11.266
angles: 15.39 15.39 15.39
Site moments in Bohr magnetons follow the coordinates.
Atoms (fractional coordinates):
Cu 0.250 0.250 0.250  0.00
W 0.750 0.750 0.750  0.17
Cl 0.030 0.030 0.030  0.01
Cl 0.470 0.470 0.470  0.01

Calculated values
- theoretical density (kg/m³) = 6021
- M_tot (Bohr magnetons per cell) = 0.26

---

*y*
Compound: CuWCl2
Source: Alexandria via LeMat-Bulk
Functional: GGA-PBE
Structure: relaxed

abc: 4.581 4.581 2.954
angles: 90.00 90.00 90.00
Atoms (fractional coordinates):
Cu 0.500 0.000 0.500
W 0.000 0.500 0.500
Cl 0.000 0.000 0.000
Cl 0.500 0.500 0.000

Calculated values
- theoretical density (kg/m³) = 8528
- M_tot (Bohr magnetons per cell) = 0.01

---

The energy of each structure relative to the most stable one, in kJ/mol of atoms, is as follows: *w* 44.5; *x* 0.0; *y* 64.0.

---

*w*
Compound: CuWCl2
Source: Alexandria via LeMat-Bulk
Functional: GGA-PBE
Structure: relaxed

abc: 4.594 4.594 4.594
angles: 126.53 126.53 79.02
Atoms (fractional coordinates):
Cu 0.250 0.750 0.500
W 0.750 0.250 0.500
Cl 0.000 0.000 0.000
Cl 0.500 0.500 0.000

Calculated values
- theoretical density (kg/m³) = 8726
- M_tot (Bohr magnetons per cell) = 0.00

---

*x*
Compound: CuWCl2
Source: Alexandria via LeMat-Bulk
Functional: GGA-PBE
Structure: relaxed

abc: 3.140 3.140 10.772
angles: 90.00 90.00 125.43
Site moments in Bohr magnetons follow the coordinates.
Atoms (fractional coordinates):
Cu 0.500 0.500 0.250  0.00
W 0.500 0.500 0.750  0.69
Cl 0.000 0.000 0.932  0.02
Cl 0.000 0.000 0.568  0.02

Calculated values
- theoretical density (kg/m³) = 6109
- M_tot (Bohr magnetons per cell) = 0.94

---

The energy of each structure relative to the most stable one, in kJ/mol of atoms, is as follows: *w* 51.0; *x* 0.0.

---

*w*
Compound: CuWCl2
Source: Alexandria via LeMat-Bulk
Functional: GGA-PBE
Structure: relaxed

abc: 6.589 5.772 2.899
angles: 59.32 116.99 133.22
Atoms (fractional coordinates):
Cu 0.000 0.500 0.500
W 0.500 0.500 0.000
Cl 0.000 0.000 0.000
Cl 0.500 0.000 0.500

Calculated values
- theoretical density (kg/m³) = 7755
- M_tot (Bohr magnetons per cell) = 0.00

---

*x*
Compound: CuWCl2
Source: Alexandria via LeMat-Bulk
Functional: GGA-PBE
Structure: relaxed

abc: 4.163 2.896 5.641
angles: 101.82 90.00 90.00
Atoms (fractional coordinates):
Cu 0.500 0.250 0.250
W 0.500 0.750 0.750
Cl 0.000 0.875 0.997
Cl 0.000 0.625 0.503

Calculated values
- theoretical density (kg/m³) = 7940
- M_tot (Bohr magnetons per cell) = 0.00

---

*y*
Compound: CuWCl2
Source: Alexandria via LeMat-Bulk
Functional: GGA-PBE
Structure: relaxed

abc: 2.936 3.649 5.921
angles: 90.00 90.00 90.00
Atoms (fractional coordinates):
Cu 0.500 0.500 0.250
W 0.500 0.500 0.750
Cl 0.000 0.000 0.984
Cl 0.000 0.000 0.516

Calculated values
- theoretical density (kg/m³) = 8332
- M_tot (Bohr magnetons per cell) = 0.00

---

The energy of each structure relative to the most stable one, in kJ/mol of atoms, is as follows: *w* 12.0; *x* 0.0; *y* 41.2.

---

*w*
Compound: CuW2Cl
Source: Alexandria via LeMat-Bulk
Functional: GGA-PBE
Structure: relaxed

abc: 3.289 3.289 7.094
angles: 90.00 90.00 90.00
Atoms (fractional coordinates):
Cu 0.500 0.500 0.773
W 0.000 0.000 0.980
W 0.500 0.500 0.144
Cl 0.000 0.000 0.602

Calculated values
- theoretical density (kg/m³) = 10096
- M_tot (Bohr magnetons per cell) = 0.00

---

*x*
Compound: CuW2Cl
Source: Alexandria via LeMat-Bulk
Functional: GGA-PBE
Structure: relaxed

abc: 2.878 4.764 4.611
angles: 90.00 90.00 90.00
Atoms (fractional coordinates):
Cu 0.000 0.500 0.500
W 0.000 0.000 0.000
W 0.500 0.500 0.000
Cl 0.500 0.000 0.500

Calculated values
- theoretical density (kg/m³) = 12257
- M_tot (Bohr magnetons per cell) = 0.00

---

The energy of each structure relative to the most stable one, in kJ/mol of atoms, is as follows: *w* 0.0; *x* 40.0.

---

*w*
Compound: Cu3WCl
Source: Alexandria via LeMat-Bulk
Functional: GGA-PBE
Structure: relaxed

abc: 4.801 4.801 4.801
angles: 90.00 90.00 90.00
Atoms (fractional coordinates):
Cu 0.000 0.500 0.000
Cu 0.000 0.000 0.500
Cu 0.500 0.000 0.000
W 0.000 0.000 0.000
Cl 0.500 0.500 0.500

Calculated values
- theoretical density (kg/m³) = 6151
- M_tot (Bohr magnetons per cell) = 0.00

---

*x*
Compound: Cu3WCl
Source: Alexandria via LeMat-Bulk
Functional: GGA-PBE
Structure: relaxed

abc: 4.307 4.307 4.307
angles: 90.00 90.00 90.00
Atoms (fractional coordinates):
Cu 0.000 0.500 0.000
Cu 0.000 0.000 0.500
Cu 0.500 0.000 0.000
W 0.500 0.500 0.500
Cl 0.000 0.000 0.000

Calculated values
- theoretical density (kg/m³) = 8518
- M_tot (Bohr magnetons per cell) = 0.00

---

The energy of each structure relative to the most stable one, in kJ/mol of atoms, is as follows: *w* 4.6; *x* 0.0.